{"formula": "NaVCuF6", "functional": "PBE+U", "state": "relaxed", "lattice": [[5.4389, 0.0000, 0.0000], [-2.7195, 4.7102, 0.0000], [0.0000, 0.0000, 9.5553]], "species": ["Na", "Na", "V", "V", "Cu", "Cu", "F", "F", "F", "F", "F", "F", "F", "F", "F", "F", "F", "F"], "fractional_positions": [[0.0000, 0.0000, 0.0000], [0.0000, 0.0000, 0.5000], [0.3333, 0.6667, 0.2500], [0.6667, 0.3333, 0.7500], [0.3333, 0.6667, 0.7500], [0.6667, 0.3333, 0.2500], [0.0314, 0.3754, 0.1403], [0.0314, 0.6561, 0.3597], [0.3439, 0.3754, 0.3597], [0.3439, 0.9686, 0.1403], [0.3754, 0.0314, 0.6403], [0.3754, 0.3439, 0.8597], [0.6246, 0.6561, 0.1403], [0.6246, 0.9686, 0.3597], [0.6561, 0.0314, 0.8597], [0.6561, 0.6246, 0.6403], [0.9686, 0.3439, 0.6403], [0.9686, 0.6246, 0.8597]], "final_energy_ev_per_atom": -5.041}